Below is a crystal of SrTlC2 relaxed with PBEsol, with properties calculated at the meta-GGA SCAN level. Values from VASP.

Computed properties:
Mass density ... 6.6 Mg/m³
Offset from the most stable computed form ... 0 meV per atom
Symmetry ... I-42d, No. 122
Energy of formation ... 1.626 eV/atom
Raw total energy ... -27.08 eV/atom

Cell and atoms, written as Quantum ESPRESSO input:
```
&SYSTEM
  ibrav = 0, nat = 16, ntyp = 3
/
ATOMIC_SPECIES
Sr 87.62 Sr.upf
Tl 204.38 Tl.upf
C 12.01 C.upf
CELL_PARAMETERS angstrom
4.723 0.000 0.000
0.000 4.723 0.000
0.000 0.000 14.184
ATOMIC_POSITIONS crystal
Sr 0.000 0.000 0.000
Sr 0.000 0.500 0.250
Sr 0.500 0.000 0.750
Sr 0.500 0.500 0.500
Tl 0.000 0.000 0.500
Tl 0.000 0.500 0.750
Tl 0.500 0.000 0.250
Tl 0.500 0.500 0.000
C 0.131 0.250 0.625
C 0.250 0.631 0.875
C 0.250 0.869 0.375
C 0.369 0.250 0.125
C 0.631 0.750 0.125
C 0.750 0.131 0.375
C 0.750 0.369 0.875
C 0.869 0.750 0.625
```